DFT (GGA-PBE) results for an optimized crystal structure of Nb3W2.

a = 3.111 Å, b = 8.016 Å, c = 7.819 Å
α = 73.42°, β = 78.53°, γ = 78.81°
Atoms (fractional coordinates):
Nb (0.658, 0.189, 0.494)
Nb (0.053, 0.570, 0.324)
W (0.433, 0.201, 0.933)
Nb (0.251, 0.627, 0.872)
Nb (0.342, 0.811, 0.506)
W (0.567, 0.799, 0.067)
Nb (0.749, 0.373, 0.128)
W (0.892, 0.999, 0.218)
Nb (0.947, 0.430, 0.676)
W (0.108, 0.001, 0.782)

Calculated values
Final energy: -10.9297 eV per atom
E above lowest polymorph: 90 meV/atom

DFT (GGA-PBE) results for an optimized crystal structure of NbW.

a = 7.716 Å, b = 7.716 Å, c = 5.003 Å
α = 90.00°, β = 90.00°, γ = 90.00°
Atoms (fractional coordinates):
Nb (0.282, 0.943, 0.500)
W (0.270, 0.426, 0.000)
Nb (0.718, 0.943, 0.000)
Nb (0.718, 0.057, 0.500)
Nb (0.943, 0.282, 0.000)
W (0.426, 0.270, 0.500)
Nb (0.057, 0.718, 0.000)
W (0.574, 0.730, 0.500)
Nb (0.943, 0.718, 0.500)
Nb (0.057, 0.282, 0.500)
W (0.574, 0.270, 0.000)
W (0.270, 0.574, 0.500)
W (0.730, 0.426, 0.500)
W (0.426, 0.730, 0.000)
W (0.730, 0.574, 0.000)
Nb (0.282, 0.057, 0.000)

Calculated values
Final energy: -10.8693 eV per atom

ΔE_f values, unit eV per atom, following the record order: 0.293 0.642.